Record 1
The following is a DFT calculation (PBE) of a geometry-optimized Tb6Nd2Sm3In structure.

Summary:
* symmetry: No. 12
* energy of formation: -0.06 eV/atom

```
12
Lattice="6.1582 -0.0024 0.0019 -3.0797 5.3328 0.0019 -1.0351 -1.7923 11.6344" Properties=species:S:1:pos:R:3 pbc="T T T"
Nd 3.0768 1.7772 0.0019
Nd 0.0017 3.5532 0.0019
Tb -0.0267 -0.0463 8.7439
Tb 0.0355 3.5442 8.7580
Tb 3.0521 1.8020 8.7580
Tb 2.0701 3.5843 2.8942
Tb -1.0088 1.7361 2.8801
Tb 2.0079 -0.0062 2.8801
Sm 4.0941 -0.0054 5.8191
Sm 1.0217 1.7690 5.8191
Sm -2.0507 3.5434 5.8191
In 0.0000 0.0000 0.0000
```

Record 2
The following is a DFT calculation (PBE) of a geometry-optimized Tb2Nd6Sm3In structure.

Summary:
* symmetry: No. 12
* energy of formation: -0.04 eV/atom

```
12
Lattice="6.2626 -0.0114 0.0057 -3.1396 5.4188 0.0057 -1.0750 -1.8613 11.7032" Properties=species:S:1:pos:R:3 pbc="T T T"
Nd -1.0359 1.7490 2.8695
Nd 0.0155 3.5693 8.8452
Nd 3.0839 1.7972 8.8452
Nd -0.0454 -0.0786 8.8171
Nd 2.0326 -0.0232 2.8695
Nd 2.0935 3.6248 2.8976
Sm 4.1404 -0.0267 5.8573
Sm 1.0240 1.7731 5.8573
Sm -2.0924 3.5729 5.8573
Tb -0.0008 3.6060 0.0057
Tb 3.1238 1.8014 0.0057
In 0.0000 0.0000 0.0000
```

Record 3
The following is a DFT calculation (PBE) of a geometry-optimized NdSm2In3Te6 structure.

Summary:
* symmetry: No. 12
* uncorrected formation energy: -0.9890 eV per atom

```
12
Lattice="-0.0866 7.7424 -0.8090 -6.4610 -4.1284 -1.3487 0.0542 -0.4159 8.5075" Properties=species:S:1:pos:R:3 pbc="T T T"
Sm -2.2105 3.7870 -0.9889
Sm -4.3370 -0.1730 -1.1689
In -5.3768 -2.3677 2.9945
In -3.2467 1.5991 3.1748
In -1.1166 5.5659 3.3552
Te -4.8245 2.5763 0.3173
Te -3.8410 4.4075 5.0468
Te -5.9836 0.4175 4.8654
Te -1.6688 0.6218 6.0323
Te -0.5097 2.7806 1.4842
Te -2.6523 -1.2094 1.3028
Nd 0.0000 0.0000 0.0000
```

Record 4
The following is a DFT calculation (PBE) of a geometry-optimized Nd2SmIn3Te6 structure.

Summary:
* symmetry: No. 12
* uncorrected formation energy: -0.9907 eV per atom

```
12
Lattice="-7.7847 -0.4686 -0.4694 4.4394 -2.7756 -5.7991 1.3332 -6.1669 5.7273" Properties=species:S:1:pos:R:3 pbc="T T T"
In -1.0061 -4.7055 -0.2707
In 3.0583 -5.4726 -2.0427
In -5.0705 -3.9385 1.5014
Te 1.5169 -2.5533 -1.0956
Te -2.5239 -1.7907 0.6662
Te -3.5290 -6.8578 0.5543
Te 0.1784 -5.5965 2.8316
Te -2.1905 -3.8146 -3.3729
Te 0.5118 -7.6204 -1.2075
Sm 0.0000 0.0000 0.0000
Nd 0.3630 -2.0062 -4.0218
Nd -3.7083 -1.2379 -2.2467
```

Record 5
The following is a DFT calculation (PBE) of a geometry-optimized NdSmTiIn structure.

Summary:
* symmetry: No. 216
* energy of formation: -0.06 eV/atom

```
4
Lattice="-4.3784 0.9087 -2.9806 -4.8601 -0.0035 2.2935 -2.7157 4.6048 0.5485" Properties=species:S:1:pos:R:3 pbc="T T T"
Ti 0.0000 0.0000 0.0000
Nd -8.9656 4.1326 -0.1040
Sm -2.9885 1.3775 -0.0347
In -5.9771 2.7550 -0.0693
```

Record 6
The following is a DFT calculation (PBE) of a geometry-optimized NdSm5TlIn2 structure.

Summary:
* symmetry: No. 140
* energy of formation: -0.11 eV/atom

```
18
Lattice="-5.7723 3.6579 -5.5375 -6.6255 -2.7511 5.0891 6.5088 5.6032 3.9019" Properties=species:S:1:pos:R:3 pbc="T T T"
Sm -0.1181 6.0883 0.0223
Sm -2.9104 4.3830 3.0661
Sm 3.3654 4.5074 2.3323
Sm 0.0000 0.0000 0.0000
Sm -9.2543 2.0025 1.1211
Sm -6.1989 0.4534 -0.2242
Sm -6.4620 3.7079 -1.9227
Sm -2.9785 2.1270 0.3873
Sm -5.7708 0.4216 3.4311
Sm 0.5731 2.8021 5.3761
Tl -6.0439 3.4817 1.6146
Tl 0.1550 3.0283 1.8388
In -9.1782 1.5825 -1.8326
In -3.2196 -0.6757 1.3842
In -8.1578 -1.0212 2.3693
In -4.2399 1.9280 -2.8177
Nd -3.1578 1.6527 4.3834
Nd -2.7312 4.8572 -0.9299
```

These records have raw total energy values of -4.5734; -4.6010; -4.4283; -4.4341; -5.0908; -4.1303 eV per atom, in the order they appear.